The following is a DFT calculation (GGA-PBEsol) of an optimized crystal structure of Zn2AsPt.

Total energy: -3.90 eV per atom
Energy relative to the elements: -0.0919 eV per atom

Lattice parameters (Å, degrees): 2.991 4.498 4.498 90.00 90.00 90.00
Fractional coordinates of all 4 atoms:
As (0.500, 0.500, 0.500)
Pt (0.500, 0.000, 0.000)
Zn (0.000, 0.000, 0.500)
Zn (0.000, 0.500, 0.000)